# 1
DFT (PBE) results for a relaxed structure of Lu2PuSc.

Unit cell a=5.4662 b=5.4662 c=3.6488 alpha=90.00 beta=90.00 gamma=90.00
With the nearest neighbours (Å) after each atom.
Element x y z (fractional)
Lu 0.0000 0.5000 0.0000  4 Sc 3.29, 4 Pu 3.29, 2 Lu 3.65
Lu 0.5000 0.0000 0.0000  4 Sc 3.29, 4 Pu 3.29, 2 Lu 3.65
Pu 0.0000 0.0000 0.5000  8 Lu 3.29, 2 Pu 3.65
Sc 0.5000 0.5000 0.5000  8 Lu 3.29, 2 Sc 3.65

Calculated values
Energy relative to the lowest polymorph listed for this composition (meV per atom): 0.0
Formation enthalpy at 0 K (eV/f.u.): 0.632
Crystal system: tetragonal
Space-group type: P4/mmm, No. 123

---

# 2
DFT (PBE) results for a relaxed structure of LuPuSc.

Unit cell a=5.3321 b=5.3321 c=3.1910 alpha=90.00 beta=90.00 gamma=120.00
With the nearest neighbours (Å) after each atom.
Element x y z (fractional)
Lu 0.0000 0.0000 0.0000  2 Lu 3.19, 6 Sc 3.46-3.47, 6 Pu 3.47
Pu 0.6667 0.3333 0.5006  3 Sc 3.08, 2 Pu 3.19
Sc 0.3333 0.6667 0.4983  3 Pu 3.08, 2 Sc 3.19

Calculated values
Energy relative to the lowest polymorph listed for this composition (meV per atom): 24.7
Formation enthalpy at 0 K (eV/f.u.): 0.387
Crystal system: trigonal
Space-group type: P3m1, No. 156

---

# 3
DFT (PBE) results for a relaxed structure of Lu2PuSc.

Unit cell a=5.3795 b=5.3795 c=5.3795 alpha=60.00 beta=60.00 gamma=60.00
With the nearest neighbours (Å) after each atom.
Element x y z (fractional)
Lu 0.2500 0.2500 0.2500  4 Sc 3.29, 4 Pu 3.29
Lu 0.7500 0.7500 0.7500  4 Sc 3.29, 4 Pu 3.29
Pu 0.0000 0.0000 0.0000  8 Lu 3.29
Sc 0.5000 0.5000 0.5000  8 Lu 3.29

Calculated values
Energy relative to the lowest polymorph listed for this composition (meV per atom): 2.4
Formation enthalpy at 0 K (eV/f.u.): 0.642
Crystal system: cubic
Space-group type: Fm-3m, No. 225

---

# 4
DFT (PBE) results for a relaxed structure of LuPuSc.

Unit cell a=7.4381 b=7.4381 c=7.4381 alpha=153.84 beta=153.84 gamma=37.34
With the nearest neighbours (Å) after each atom.
Element x y z (fractional)
Lu 0.0000 0.0000 0.0000  4 Sc 3.36, 4 Lu 3.37, 4 Pu 3.40
Pu 0.6726 0.6726 0.0000  4 Sc 3.27, 4 Pu 3.37, 4 Lu 3.40
Sc 0.3316 0.3316 0.0000  4 Pu 3.27, 4 Lu 3.36, 4 Sc 3.37

Calculated values
Energy relative to the lowest polymorph listed for this composition (meV per atom): 0.0
Formation enthalpy at 0 K (eV/f.u.): 0.313
Crystal system: tetragonal
Space-group type: I4mm, No. 107

---

# 5
DFT (PBE) results for a relaxed structure of LuPuScSn.

Unit cell a=5.2295 b=5.2295 c=5.2295 alpha=60.00 beta=60.00 gamma=60.00
With the nearest neighbours (Å) after each atom.
Element x y z (fractional)
Lu 0.0000 0.0000 0.0000  4 Sc 3.20, 4 Pu 3.20
Pu 0.2500 0.2500 0.2500  4 Sn 3.20, 4 Lu 3.20
Sc 0.7500 0.7500 0.7500  4 Sn 3.20, 4 Lu 3.20
Sn 0.5000 0.5000 0.5000  4 Sc 3.20, 4 Pu 3.20

Calculated values
Formation enthalpy at 0 K (eV/f.u.): -0.574
Crystal system: cubic
Space-group type: F-43m, No. 216

---

# 6
DFT (PBE) results for a relaxed structure of LuPuThSc.

Unit cell a=5.4450 b=5.4450 c=5.4450 alpha=60.00 beta=60.00 gamma=60.00
With the nearest neighbours (Å) after each atom.
Element x y z (fractional)
Lu 0.0000 0.0000 0.0000  4 Th 3.33, 4 Pu 3.33
Pu 0.7500 0.7500 0.7500  4 Sc 3.33, 4 Lu 3.33
Th 0.2500 0.2500 0.2500  4 Sc 3.33, 4 Lu 3.33
Sc 0.5000 0.5000 0.5000  4 Th 3.33, 4 Pu 3.33

Calculated values
Formation enthalpy at 0 K (eV/f.u.): 0.749
Crystal system: cubic
Space-group type: F-43m, No. 216

---

| no. | E_tot (eV/atom) | spin magnetization (μB/f.u.) |
| --- | --- | --- |
| 1 | -7.268 | 7.1 |
| 2 | -8.266 | 5.9 |
| 3 | -7.266 | 6.4 |
| 4 | -8.290 | 5.9 |
| 5 | -7.440 | 6.7 |
| 6 | -7.964 | 5.8 |